Record 1
A relaxed SrSb crystal. Source: Alexandria via LeMat-Bulk, functional PBE.

Density ... 3.2 g cm⁻³

Cell lengths 7.582, 7.582, 7.582 Å; angles 90.00, 90.00, 90.00 degrees
Space group F-43m (No. 216)
Symmetry-distinct sites (fractional):
Sr1 0.000 0.000 0.000 x4
Sb1 0.250 0.250 0.250 x4

Record 2
A relaxed CoRhSe4 crystal. Source: Alexandria via LeMat-Bulk, functional PBE.

Relative energy among the computed polymorphs ... 0 meV per atom
Density ... 7.5 g cm⁻³

Cell lengths 5.967, 5.971, 5.969 Å; angles 90.00, 90.12, 90.00 degrees
Space group P2_1/c (No. 14)
Symmetry-distinct sites (fractional):
Co1 0.000 0.000 0.000 x2
Rh1 0.500 0.000 0.500 x2
Se1 0.116 0.129 0.629 x4
Se2 0.368 0.618 0.619 x4

What did we get for uncorrected formation energy? Answer: -0.5, -2.0 eV/f.u., in the order shown.